Entry 1:
# Na4Ni5O10 meta-GGA SCAN single point on PBEsol structure
data_Na4Ni5O10
_space_group_name_H-M_alt 'P -1'
_space_group_IT_number 2
_cell_length_a 5.1259
_cell_length_b 6.2265
_cell_length_c 6.8198
_cell_angle_alpha 109.64
_cell_angle_beta 96.65
_cell_angle_gamma 106.33
loop_
_space_group_symop_operation_xyz
'x,y,z'
'-x,-y,-z'
loop_
_atom_site_label
_atom_site_fract_x
_atom_site_fract_y
_atom_site_fract_z
Na1 0.0955 0.1887 0.1899
Na2 0.3136 0.6223 0.6231
Ni1 0.0994 0.6967 0.2017
Ni2 0.2985 0.0987 0.5997
Ni3 0.5000 0.5000 0.0000
O1 0.0145 0.7808 0.4783
O2 0.1750 0.6144 0.9266
O3 0.2057 0.1952 0.8679
O4 0.3743 0.0081 0.3275
O5 0.4040 0.5866 0.2755
# Formation energy without anion corrections in eV/atom: -1.43
# Density of states at the Fermi level in states/eV/atom: 0.2524
# Total energy in eV/atom: -9.8574


Entry 2:
# Na3Ni7O12 meta-GGA SCAN single point on PBEsol structure
data_Na3Ni7O12
_space_group_name_H-M_alt 'P 1'
_space_group_IT_number 1
_cell_length_a 5.4669
_cell_length_b 5.7249
_cell_length_c 7.5911
_cell_angle_alpha 100.38
_cell_angle_beta 98.57
_cell_angle_gamma 104.48
loop_
_space_group_symop_operation_xyz
'x,y,z'
loop_
_atom_site_label
_atom_site_fract_x
_atom_site_fract_y
_atom_site_fract_z
Na1 0.0000 0.0000 0.0000
Na2 0.0028 0.2040 0.6383
Na3 0.9941 0.5002 0.9887
Ni1 0.4861 0.0851 0.8281
Ni2 0.4878 0.7618 0.4939
Ni3 0.4887 0.2608 0.4914
Ni4 0.4930 0.5906 0.8260
Ni5 0.5101 0.4321 0.1672
Ni6 0.5127 0.9373 0.1694
Ni7 0.9954 0.7542 0.3509
O1 0.2568 0.9531 0.5536
O2 0.2859 0.6847 0.2539
O3 0.3076 0.4828 0.5612
O4 0.3154 0.3197 0.9198
O5 0.3244 0.8199 0.9277
O6 0.3270 0.1672 0.2437
O7 0.6613 0.3479 0.7355
O8 0.6680 0.8678 0.7380
O9 0.6712 0.0357 0.4167
O10 0.7011 0.5684 0.4112
O11 0.7083 0.1961 0.0801
O12 0.7225 0.7149 0.1176
# Formation energy without anion corrections in eV/atom: -1.31
# Density of states at the Fermi level in states/eV/atom: 0.2254
# Total energy in eV/atom: -10.4322


Entry 3:
# Na6NiO4 meta-GGA SCAN single point on PBEsol structure
data_Na6NiO4
_space_group_name_H-M_alt 'C m c 21'
_space_group_IT_number 36
_cell_length_a 7.4226
_cell_length_b 13.3218
_cell_length_c 5.7963
_cell_angle_alpha 90.00
_cell_angle_beta 90.00
_cell_angle_gamma 90.00
loop_
_space_group_symop_operation_xyz
'x,y,z'
'-x,-y,z+1/2'
'-x,y,z'
'x,-y,z+1/2'
'x+1/2,y+1/2,z'
'-x+1/2,-y+1/2,z+1/2'
'-x+1/2,y+1/2,z'
'x+1/2,-y+1/2,z+1/2'
loop_
_atom_site_label
_atom_site_fract_x
_atom_site_fract_y
_atom_site_fract_z
Na1 0.0000 0.0390 0.0000
Na2 0.0000 0.3625 0.6921
Na3 0.1998 0.2296 0.0301
Na4 0.2116 0.4268 0.1834
Ni1 0.0000 0.1644 0.4118
O1 0.0000 0.1793 0.7425
O2 0.0000 0.3071 0.3088
O3 0.2063 0.0884 0.2943
# Formation energy without anion corrections in eV/atom: -1.35
# Total energy in eV/atom: -7.3866


Entry 4:
# Na4NiO4 meta-GGA SCAN single point on PBEsol structure
data_Na4NiO4
_space_group_name_H-M_alt 'P -1'
_space_group_IT_number 2
_cell_length_a 5.6483
_cell_length_b 5.6764
_cell_length_c 8.5893
_cell_angle_alpha 71.45
_cell_angle_beta 80.39
_cell_angle_gamma 68.33
loop_
_space_group_symop_operation_xyz
'x,y,z'
'-x,-y,-z'
loop_
_atom_site_label
_atom_site_fract_x
_atom_site_fract_y
_atom_site_fract_z
Na1 0.2310 0.4783 0.0723
Na2 0.2412 0.2338 0.4847
Na3 0.2585 0.0506 0.8960
Na4 0.2587 0.5899 0.6785
Ni1 0.2189 0.8453 0.2539
O1 0.0166 0.1693 0.1412
O2 0.0254 0.6312 0.3039
O3 0.3647 0.8402 0.4254
O4 0.4750 0.7086 0.1125
# Formation energy without anion corrections in eV/atom: -1.36
# Density of states at the Fermi level in states/eV/atom: 0.4833
# Total energy in eV/atom: -7.8012


Entry 5:
# Na5NiO4 meta-GGA SCAN single point on PBEsol structure
data_Na5NiO4
_space_group_name_H-M_alt 'P b c a'
_space_group_IT_number 61
_cell_length_a 5.9155
_cell_length_b 17.8296
_cell_length_c 10.2117
_cell_angle_alpha 90.00
_cell_angle_beta 90.00
_cell_angle_gamma 90.00
loop_
_space_group_symop_operation_xyz
'x,y,z'
'-x,-y,-z'
'-x+1/2,-y,z+1/2'
'x+1/2,y,-z+1/2'
'x+1/2,-y+1/2,-z'
'-x+1/2,y+1/2,z'
'-x,y+1/2,-z+1/2'
'x,-y+1/2,z+1/2'
loop_
_atom_site_label
_atom_site_fract_x
_atom_site_fract_y
_atom_site_fract_z
Na1 0.0695 0.1391 0.2041
Na2 0.0755 0.0658 0.9412
Na3 0.0839 0.5012 0.1577
Na4 0.1032 0.6707 0.8295
Na5 0.1059 0.7482 0.5801
Ni1 0.1741 0.1240 0.4606
O1 0.1393 0.6207 0.0496
O2 0.1953 0.5454 0.3683
O3 0.2370 0.7122 0.3725
O4 0.2399 0.6251 0.6375
# Formation energy without anion corrections in eV/atom: -1.42
# Total energy in eV/atom: -7.6366


Entry 6:
# Na3Ni2O5 meta-GGA SCAN single point on PBEsol structure
data_Na3Ni2O5
_space_group_name_H-M_alt 'P -1'
_space_group_IT_number 2
_cell_length_a 5.2170
_cell_length_b 6.2280
_cell_length_c 6.8321
_cell_angle_alpha 107.25
_cell_angle_beta 96.59
_cell_angle_gamma 107.08
loop_
_space_group_symop_operation_xyz
'x,y,z'
'-x,-y,-z'
loop_
_atom_site_label
_atom_site_fract_x
_atom_site_fract_y
_atom_site_fract_z
Na1 0.0000 0.0000 0.0000
Na2 0.0000 0.5000 0.0000
Na3 0.2055 0.4050 0.3876
Na4 0.3775 0.7881 0.7988
Ni1 0.2020 0.9045 0.4047
Ni2 0.3981 0.2962 0.7969
O1 0.0977 0.3877 0.6923
O2 0.1185 0.9853 0.6771
O3 0.3275 0.8459 0.1510
O4 0.3489 0.3788 0.0794
O5 0.4773 0.2134 0.5239
# Formation energy without anion corrections in eV/atom: -1.45
# Density of states at the Fermi level in states/eV/atom: 0.0030
# Total energy in eV/atom: -9.0649